ZrTl3N | PBE | optimized geometry

Results
DFT total energy: -15.38 eV per cell
Energy relative to the elements, uncorrected: 1.718 eV/atom

a b c (Å): 5.679 5.679 5.679
angles (deg): 90.00 90.00 90.00
Atoms (fractional coordinates):
N  0.500  0.500  0.500
Zr  0.000  0.000  0.000
Tl  0.500  0.000  0.000
Tl  0.000  0.500  0.000
Tl  0.000  0.000  0.500

=====

Fe2HIrPt | PBE | optimized geometry

Results
DFT total energy: -34.36 eV per cell

a b c (Å): 3.776 3.776 3.748
angles (deg): 90.00 90.00 90.00
Atoms (fractional coordinates):
H  0.000  0.000  0.000
Fe  0.500  0.000  0.000
Ir  0.500  0.500  0.500
Pt  0.000  0.000  0.500
Fe  0.000  0.500  0.000

=====

CdAuC3 | PBE | optimized geometry

Results
Energy relative to the elements: 17.12 eV/f.u.
DFT total energy: -14.75 eV per cell

a b c (Å): 4.290 4.290 4.290
angles (deg): 90.00 90.00 90.00
Atoms (fractional coordinates):
C  0.000  0.000  0.500
Au  0.500  0.500  0.500
C  0.500  0.000  0.000
Cd  0.000  0.000  0.000
C  0.000  0.500  0.000

=====

SbPd2Pt | PBE | optimized geometry

Results
DFT total energy: -21.72 eV per cell
Energy relative to the elements, uncorrected: -0.294 eV/atom

a b c (Å): 4.571 4.571 4.571
angles (deg): 60.00 60.00 60.00
Atoms (fractional coordinates):
Sb  0.750  0.750  0.750
Pd  0.250  0.250  0.250
Pd  0.000  0.000  0.000
Pt  0.500  0.500  0.500

=====

Taking the records one at a time from the top gives volume values of 183.2; 53.4; 79.0; 67.5 Å³/cell.